No. 1
Computed, not measured: an optimized crystal structure of Ba3Ga9Pd2 at the PBE level of DFT.

```
Ba3Ga9Pd2
1.0
-1.887 -0.008 -4.029
-5.937 -6.640 0.338
-7.485 4.727 1.039
Ba Ga Pd
3 9 2
direct
0.000 0.000 0.000
0.696 0.304 0.304
0.304 0.696 0.696
0.000 0.500 0.500
0.677 0.996 0.649
0.323 0.004 0.351
0.677 0.649 0.996
0.323 0.351 0.004
0.888 0.820 0.405
0.112 0.180 0.595
0.888 0.405 0.820
0.112 0.595 0.180
0.500 0.276 0.724
0.500 0.724 0.276
```

Summary:
* E_tot: -3.58 eV/atom
* DOS(E_F): 5.98 states/eV/cell
* space group: Immm

No. 2
Computed, not measured: an optimized crystal structure of Ba2Ga4Pd5 at the PBE level of DFT.

```
Ba2Ga4Pd5
1.0
-3.179 0.957 4.907
-0.400 -4.308 4.158
4.592 3.249 5.917
Ba Ga Pd
2 4 5
direct
0.865 0.000 0.270
0.135 0.000 0.730
0.789 0.678 0.745
0.211 0.322 0.255
0.533 0.678 0.255
0.467 0.322 0.745
0.500 0.000 0.000
0.000 0.500 0.000
0.500 0.500 0.000
0.250 0.500 0.500
0.750 0.500 0.500
```

Summary:
* energy relative to the lowest polymorph listed for this composition: 0.000 eV per atom
* DOS(E_F): 7.38 states/eV/cell
* space group: Fmmm

No. 3
Computed, not measured: an optimized crystal structure of Ba3Ga4Pd2 at the PBE level of DFT.

```
Ba3Ga4Pd2
1.0
-3.801 -0.282 2.603
-2.919 -4.592 -4.762
6.332 -4.137 4.707
Ba Ga Pd
3 4 2
direct
0.848 0.427 0.695
0.152 0.573 0.305
0.000 0.000 0.000
0.478 0.321 0.955
0.787 0.902 0.575
0.522 0.679 0.045
0.213 0.098 0.425
0.348 0.021 0.695
0.652 0.979 0.305
```

Summary:
* energy relative to the lowest polymorph listed for this composition: 0.047 eV per atom
* DOS(E_F): 7.36 states/eV/cell
* space group: C2/m

What did the first record say?
Computed, not measured: an optimized crystal structure of Ba3Ga9Pd2 at the PBE level of DFT.

```
Ba3Ga9Pd2
1.0
-1.887 -0.008 -4.029
-5.937 -6.640 0.338
-7.485 4.727 1.039
Ba Ga Pd
3 9 2
direct
0.000 0.000 0.000
0.696 0.304 0.304
0.304 0.696 0.696
0.000 0.500 0.500
0.677 0.996 0.649
0.323 0.004 0.351
0.677 0.649 0.996
0.323 0.351 0.004
0.888 0.820 0.405
0.112 0.180 0.595
0.888 0.405 0.820
0.112 0.595 0.180
0.500 0.276 0.724
0.500 0.724 0.276
```

Summary:
* E_tot: -3.58 eV/atom
* DOS(E_F): 5.98 states/eV/cell
* space group: Immm

Which formula does entry 2 have?
Ba2Ga4Pd5

Which of these has the highest DOS(E_F)?
Ba2Ga4Pd5